## CsRb2AuO (PBE)

Data for CsRb2AuO after structural relaxation.

Lattice parameters (Å, degrees): 5.627 5.627 5.893 90.00 90.00 90.00
Atoms (fractional coordinates):
Cs 0.000 0.000 0.000
Rb 0.000 0.500 0.500
Rb 0.500 0.000 0.500
Au 0.500 0.500 0.000
O 0.000 0.000 0.500

Values from the calculation:
* ΔE to the lowest computed polymorph: 0 meV per atom
* magnetization: 0.00 μB/f.u.
* raw total energy: -2.886 eV/atom
* calculated volume: 37.3 Å³ per atom
* formation energy (no corrections): -0.682 eV/atom
* crystal system: tetragonal

***

## InPbI2Br (PBE)

Data for InPbI2Br after structural relaxation.

Lattice parameters (Å, degrees): 6.340 6.340 5.871 90.00 90.00 90.00
Atoms (fractional coordinates):
In 0.000 0.000 0.000
Pb 0.500 0.500 0.500
I 0.000 0.500 0.500
I 0.500 0.000 0.500
Br 0.500 0.500 0.000

Values from the calculation:
* ΔE to the lowest computed polymorph: 134 meV per atom
* magnetization: 0.00 μB/f.u.
* raw total energy: -2.759 eV/atom
* calculated volume: 47.2 Å³ per atom
* formation energy (no corrections): -0.515 eV/atom
* crystal system: tetragonal

***

## BaErTlAg (PBE)

Data for BaErTlAg after structural relaxation.

Lattice parameters (Å, degrees): 5.581 5.581 5.581 60.00 60.00 60.00
Atoms (fractional coordinates):
Ba 0.000 0.000 0.000
Er 0.500 0.500 0.500
Tl 0.750 0.750 0.750
Ag 0.250 0.250 0.250

Values from the calculation:
* magnetization: 0.00 μB/f.u.
* raw total energy: -3.089 eV/atom
* calculated volume: 30.7 Å³ per atom
* ΔE_f: -163.1 meV/atom
* crystal system: cubic